No. 1
Material: Na2MgCuB
Method: DFT, PBEsol
State: optimized geometry

CIF file:
```
data_Na2MgCuB
_chemical_formula_sum 'Na2 Mg1 Cu1 B1'
_space_group_name_H-M_alt 'P 1'
_space_group_IT_number 1
_space_group_name_Hall 'P 1'
_cell_length_a 4.6252
_cell_length_b 5.5150
_cell_length_c 5.5150
_cell_angle_alpha 90.00
_cell_angle_beta 90.00
_cell_angle_gamma 90.00
loop_
_atom_site_label
_atom_site_type_symbol
_atom_site_fract_x
_atom_site_fract_y
_atom_site_fract_z
Na1 Na 0.0000 0.0000 0.5000
Na2 Na 0.0000 0.5000 0.0000
Mg1 Mg 0.0000 0.0000 0.0000
B1 B 0.5000 0.5000 0.5000
Cu1 Cu 0.5000 0.0000 0.0000
```

Results
E: -8.3 eV/cell
crystal system: tetragonal
D(E_F): 0.642 states/eV/atom
SG: P4/mmm
ΔE_f: 1.520 eV per atom

No. 2
Material: MnCuB3
Method: DFT, PBEsol
State: optimized geometry

CIF file:
```
data_MnCuB3
_chemical_formula_sum 'Mn1 Cu1 B3'
_space_group_name_H-M_alt 'P 1'
_space_group_IT_number 1
_space_group_name_Hall 'P 1'
_cell_length_a 3.7494
_cell_length_b 3.7494
_cell_length_c 3.7494
_cell_angle_alpha 90.00
_cell_angle_beta 90.00
_cell_angle_gamma 90.00
loop_
_atom_site_label
_atom_site_type_symbol
_atom_site_fract_x
_atom_site_fract_y
_atom_site_fract_z
B1 B 0.0000 0.5000 0.0000
B2 B 0.0000 0.0000 0.5000
B3 B 0.5000 0.0000 0.0000
Mn1 Mn 0.5000 0.5000 0.5000
Cu1 Cu 0.0000 0.0000 0.0000
```

Results
E: -27.6 eV/cell
crystal system: cubic
D(E_F): 0.418 states/eV/atom
SG: Pm-3m
ΔE_f: 1.507 eV per atom

No. 3
Material: MnCuB2P
Method: DFT, PBEsol
State: optimized geometry

CIF file:
```
data_MnCuB2P
_chemical_formula_sum 'Mn1 Cu1 B2 P1'
_space_group_name_H-M_alt 'P 1'
_space_group_IT_number 1
_space_group_name_Hall 'P 1'
_cell_length_a 3.8122
_cell_length_b 3.8122
_cell_length_c 4.3360
_cell_angle_alpha 90.00
_cell_angle_beta 90.00
_cell_angle_gamma 90.00
loop_
_atom_site_label
_atom_site_type_symbol
_atom_site_fract_x
_atom_site_fract_y
_atom_site_fract_z
P1 P 0.0000 0.0000 0.0000
B1 B 0.0000 0.5000 0.0000
B2 B 0.5000 0.0000 0.0000
Mn1 Mn 0.5000 0.5000 0.5000
Cu1 Cu 0.0000 0.0000 0.5000
```

Results
E: -27.6 eV/cell
crystal system: tetragonal
D(E_F): 0.521 states/eV/atom
SG: P4/mmm
ΔE_f: 1.272 eV per atom

No. 4
Material: Mn2CuBS
Method: DFT, PBEsol
State: optimized geometry

CIF file:
```
data_Mn2CuBS
_chemical_formula_sum 'Mn2 Cu1 B1 S1'
_space_group_name_H-M_alt 'P 1'
_space_group_IT_number 1
_space_group_name_Hall 'P 1'
_cell_length_a 3.9645
_cell_length_b 3.9645
_cell_length_c 4.0599
_cell_angle_alpha 90.00
_cell_angle_beta 90.00
_cell_angle_gamma 90.00
loop_
_atom_site_label
_atom_site_type_symbol
_atom_site_fract_x
_atom_site_fract_y
_atom_site_fract_z
S1 S 0.0000 0.0000 0.5000
Mn1 Mn 0.0000 0.5000 0.0000
Mn2 Mn 0.5000 0.0000 0.0000
B1 B 0.0000 0.0000 0.0000
Cu1 Cu 0.5000 0.5000 0.5000
```

Results
E: -32.2 eV/cell
crystal system: tetragonal
D(E_F): 0.521 states/eV/atom
SG: P4/mmm
ΔE_f (raw): 0.613 eV per atom

No. 5
Material: CuBTeN2
Method: DFT, PBEsol
State: optimized geometry

CIF file:
```
data_CuBTeN2
_chemical_formula_sum 'Cu1 B1 Te1 N2'
_space_group_name_H-M_alt 'P 1'
_space_group_IT_number 1
_space_group_name_Hall 'P 1'
_cell_length_a 3.3282
_cell_length_b 3.3282
_cell_length_c 6.2591
_cell_angle_alpha 90.00
_cell_angle_beta 90.00
_cell_angle_gamma 90.00
loop_
_atom_site_label
_atom_site_type_symbol
_atom_site_fract_x
_atom_site_fract_y
_atom_site_fract_z
B1 B 0.0000 0.0000 0.0000
Te1 Te 0.0000 0.0000 0.5000
Cu1 Cu 0.5000 0.5000 0.5000
N1 N 0.0000 0.5000 0.0000
N2 N 0.5000 0.0000 0.0000
```

Results
E: -25.4 eV/cell
crystal system: tetragonal
D(E_F): 0.676 states/eV/atom
SG: P4/mmm
ΔE_f (raw): 1.299 eV per atom

No. 6
Material: Na2CuBSO7
Method: DFT, PBEsol
State: optimized geometry

CIF file:
```
data_Na2CuBSO7
_chemical_formula_sum 'Na4 Cu2 B2 S2 O14'
_space_group_name_H-M_alt 'P 1'
_space_group_IT_number 1
_space_group_name_Hall 'P 1'
_cell_length_a 4.9449
_cell_length_b 7.3262
_cell_length_c 8.6250
_cell_angle_alpha 90.00
_cell_angle_beta 92.77
_cell_angle_gamma 90.00
loop_
_atom_site_label
_atom_site_type_symbol
_atom_site_fract_x
_atom_site_fract_y
_atom_site_fract_z
Na1 Na 0.2500 0.5061 0.7749
Na2 Na 0.2500 0.9939 0.7749
Na3 Na 0.7500 0.4939 0.2251
Na4 Na 0.7500 0.0061 0.2251
Cu1 Cu 0.7864 0.2500 0.6488
Cu2 Cu 0.2136 0.7500 0.3512
B1 B 0.7296 0.2500 0.9184
B2 B 0.2705 0.7500 0.0816
S1 S 0.7257 0.7500 0.5867
S2 S 0.2743 0.2500 0.4133
O1 O 0.3038 0.7500 0.9319
O2 O 0.9711 0.2500 0.8410
O3 O 0.5298 0.2500 0.7970
O4 O 0.7933 0.9160 0.6748
O5 O 0.7933 0.5840 0.6748
O6 O 0.1402 0.2500 0.5660
O7 O 0.4217 0.7500 0.5459
O8 O 0.5783 0.2500 0.4541
O9 O 0.8598 0.7500 0.4340
O10 O 0.2067 0.4160 0.3252
O11 O 0.2067 0.0840 0.3252
O12 O 0.4702 0.7500 0.2030
O13 O 0.0289 0.7500 0.1590
O14 O 0.6962 0.2500 0.0681
```

Results
E: -148.2 eV/cell
crystal system: monoclinic
SG: P2_1/m
ΔE_f (raw): -1.566 eV per atom

No. 7
Material: NaCu2BP
Method: DFT, PBEsol
State: optimized geometry

CIF file:
```
data_NaCu2BP
_chemical_formula_sum 'Na1 Cu2 B1 P1'
_space_group_name_H-M_alt 'P 1'
_space_group_IT_number 1
_space_group_name_Hall 'P 1'
_cell_length_a 4.2277
_cell_length_b 4.4087
_cell_length_c 4.4087
_cell_angle_alpha 90.00
_cell_angle_beta 90.00
_cell_angle_gamma 90.00
loop_
_atom_site_label
_atom_site_type_symbol
_atom_site_fract_x
_atom_site_fract_y
_atom_site_fract_z
P1 P 0.5000 0.5000 0.5000
B1 B 0.5000 0.0000 0.0000
Cu1 Cu 0.0000 0.0000 0.5000
Cu2 Cu 0.0000 0.5000 0.0000
Na1 Na 0.0000 0.0000 0.0000
```

Results
E: -12.8 eV/cell
crystal system: tetragonal
D(E_F): 0.408 states/eV/atom
SG: P4/mmm
ΔE_f: 2.016 eV per atom

No. 8
Material: NbCuB2
Method: DFT, PBEsol
State: optimized geometry

CIF file:
```
data_NbCuB2
_chemical_formula_sum 'Nb2 Cu2 B4'
_space_group_name_H-M_alt 'P 1'
_space_group_IT_number 1
_space_group_name_Hall 'P 1'
_cell_length_a 3.6525
_cell_length_b 3.6525
_cell_length_c 7.2208
_cell_angle_alpha 104.65
_cell_angle_beta 104.65
_cell_angle_gamma 90.00
loop_
_atom_site_label
_atom_site_type_symbol
_atom_site_fract_x
_atom_site_fract_y
_atom_site_fract_z
Nb1 Nb 0.0000 0.0000 0.0000
Nb2 Nb 0.2500 0.7500 0.5000
B1 B 0.6250 0.3750 0.7500
B2 B 0.1250 0.3750 0.7500
B3 B 0.6250 0.8750 0.2500
B4 B 0.6250 0.3750 0.2500
Cu1 Cu 0.5000 0.5000 0.0000
Cu2 Cu 0.7500 0.2500 0.5000
```

Results
E: -55.5 eV/cell
crystal system: tetragonal
D(E_F): 0.490 states/eV/atom
SG: I4_1/amd
ΔE_f: 0.365 eV per atom

No. 9
Material: NbCuB3
Method: DFT, PBEsol
State: optimized geometry

CIF file:
```
data_NbCuB3
_chemical_formula_sum 'Nb1 Cu1 B3'
_space_group_name_H-M_alt 'P 1'
_space_group_IT_number 1
_space_group_name_Hall 'P 1'
_cell_length_a 4.1801
_cell_length_b 4.1801
_cell_length_c 4.1801
_cell_angle_alpha 90.00
_cell_angle_beta 90.00
_cell_angle_gamma 90.00
loop_
_atom_site_label
_atom_site_type_symbol
_atom_site_fract_x
_atom_site_fract_y
_atom_site_fract_z
Nb1 Nb 0.0000 0.0000 0.0000
B1 B 0.0000 0.5000 0.0000
B2 B 0.0000 0.0000 0.5000
B3 B 0.5000 0.0000 0.0000
Cu1 Cu 0.5000 0.5000 0.5000
```

Results
E: -27.3 eV/cell
crystal system: cubic
D(E_F): 0.397 states/eV/atom
SG: Pm-3m
ΔE_f: 1.781 eV per atom

No. 10
Material: Nb2CuB2
Method: DFT, PBEsol
State: optimized geometry

CIF file:
```
data_Nb2CuB2
_chemical_formula_sum 'Nb2 Cu1 B2'
_space_group_name_H-M_alt 'P 1'
_space_group_IT_number 1
_space_group_name_Hall 'P 1'
_cell_length_a 3.8590
_cell_length_b 3.8590
_cell_length_c 5.1835
_cell_angle_alpha 111.85
_cell_angle_beta 111.85
_cell_angle_gamma 90.00
loop_
_atom_site_label
_atom_site_type_symbol
_atom_site_fract_x
_atom_site_fract_y
_atom_site_fract_z
Nb1 Nb 0.2500 0.7500 0.5000
Nb2 Nb 0.7500 0.2500 0.5000
B1 B 0.4086 0.4086 0.8171
B2 B 0.5914 0.5914 0.1829
Cu1 Cu 0.0000 0.0000 0.0000
```

Results
E: -38.0 eV/cell
crystal system: tetragonal
D(E_F): 0.786 states/eV/atom
SG: I4/mmm
ΔE_f: 0.410 eV per atom

No. 11
Material: NbZnCuB2
Method: DFT, PBEsol
State: optimized geometry

CIF file:
```
data_NbZnCuB2
_chemical_formula_sum 'Nb1 Zn1 Cu1 B2'
_space_group_name_H-M_alt 'P 1'
_space_group_IT_number 1
_space_group_name_Hall 'P 1'
_cell_length_a 3.8834
_cell_length_b 3.8834
_cell_length_c 4.1786
_cell_angle_alpha 90.00
_cell_angle_beta 90.00
_cell_angle_gamma 90.00
loop_
_atom_site_label
_atom_site_type_symbol
_atom_site_fract_x
_atom_site_fract_y
_atom_site_fract_z
Nb1 Nb 0.5000 0.5000 0.5000
B1 B 0.0000 0.5000 0.0000
B2 B 0.5000 0.0000 0.0000
Zn1 Zn 0.0000 0.0000 0.0000
Cu1 Cu 0.0000 0.0000 0.5000
```

Results
E: -24.1 eV/cell
crystal system: tetragonal
D(E_F): 0.637 states/eV/atom
SG: P4/mmm
ΔE_f: 1.328 eV per atom

No. 12
Material: CuNi2BSe
Method: DFT, PBEsol
State: optimized geometry

CIF file:
```
data_CuNi2BSe
_chemical_formula_sum 'Cu1 Ni2 B1 Se1'
_space_group_name_H-M_alt 'P 1'
_space_group_IT_number 1
_space_group_name_Hall 'P 1'
_cell_length_a 3.8552
_cell_length_b 3.8552
_cell_length_c 3.9626
_cell_angle_alpha 90.00
_cell_angle_beta 90.00
_cell_angle_gamma 90.00
loop_
_atom_site_label
_atom_site_type_symbol
_atom_site_fract_x
_atom_site_fract_y
_atom_site_fract_z
Ni1 Ni 0.0000 0.5000 0.0000
Ni2 Ni 0.5000 0.0000 0.0000
B1 B 0.0000 0.0000 0.0000
Cu1 Cu 0.0000 0.0000 0.5000
Se1 Se 0.5000 0.5000 0.5000
```

Results
E: -26.9 eV/cell
crystal system: tetragonal
D(E_F): 0.211 states/eV/atom
SG: P4/mmm
ΔE_f (raw): 0.126 eV per atom